Entry from Alexandria: an optimized crystal structure of MnHg2Br (PBE-GGA).

Output
As for the space group: Pm (6). The total energy comes out at -2.89 eV/atom. Its magnetic moment is 1.0878 μB/atom. The value obtained for the formation energy without anion corrections is -2.35 kJ per mole of atoms. The calculation puts the energy above the lowest structure with this stoichiometry at 0.0000 eV/atom.

```
4
Lattice="3.511 0.000 0.000 0.000 4.212 -0.005 0.000 2.097 7.304" Properties=species:S:1:pos:R:3 pbc="T T T"
Br 1.755 3.944 5.133
Hg 0.000 3.946 0.305
Hg 1.755 1.839 2.272
Mn 0.000 3.947 3.234
```